1.
Compound: KRb2S
Source: Alexandria
Functional: PBE-GGA
Structure: optimized geometry

abc: 5.3792 5.3792 9.5324
angles: 73.61 73.61 60.00
Fractional coordinates of all 4 atoms:
1 K 0.5288 0.5288 0.4137
2 Rb 0.0391 0.0391 0.8827
3 Rb 0.2845 0.2845 0.1466
4 S 0.6477 0.6477 0.0570

Calculated values
Formation energy (no corrections) in kJ/mol of formula units: -253
Crystal system: trigonal
Density of states at the Fermi level in states/eV/atom: 0.3450
Theoretical density in Mg/m³: 1.8
Spin magnetization in μB/f.u.: 0.0

***

2.
Compound: KRb3S2
Source: Alexandria
Functional: PBE-GGA
Structure: optimized geometry

abc: 7.6554 7.1183 9.7261
angles: 111.47 113.18 90.00
Fractional coordinates of all 12 atoms:
1 K 0.0000 0.2500 0.0000
2 K 0.0000 0.7500 0.0000
3 Rb 0.3803 0.6895 0.3789
4 Rb 0.6197 0.3105 0.6211
5 Rb 0.0014 0.8105 0.6211
6 Rb 0.9986 0.1895 0.3789
7 Rb 0.5000 0.7500 0.0000
8 Rb 0.5000 0.2500 0.0000
9 S 0.3479 0.1169 0.2339
10 S 0.6521 0.8831 0.7661
11 S 0.1140 0.3831 0.7661
12 S 0.8860 0.6169 0.2339

Calculated values
Formation energy (no corrections) in kJ/mol of formula units: -562
Crystal system: orthorhombic
Density of states at the Fermi level in states/eV/atom: 0.0000
Theoretical density in Mg/m³: 2.7
Spin magnetization in μB/f.u.: 0.0

***

3.
Compound: K2RbS2
Source: Alexandria
Functional: PBE-GGA
Structure: optimized geometry

abc: 4.9189 4.9728 13.5281
angles: 100.59 90.00 90.00
Fractional coordinates of all 10 atoms:
1 K 0.2500 0.9435 0.8890
2 K 0.7500 0.0565 0.1110
3 K 0.2500 0.2503 0.5003
4 K 0.7500 0.7497 0.4997
5 Rb 0.2500 0.6372 0.2718
6 Rb 0.7500 0.3628 0.7282
7 S 0.2500 0.8236 0.6470
8 S 0.7500 0.1764 0.3530
9 S 0.2500 0.5123 0.0257
10 S 0.7500 0.4877 0.9743

Calculated values
ΔE to the lowest computed polymorph in meV per atom: 0
Formation energy (no corrections) in kJ/mol of formula units: -434
Crystal system: monoclinic
Density of states at the Fermi level in states/eV/atom: 0.2259
Theoretical density in Mg/m³: 2.3
Spin magnetization in μB/f.u.: 0.0

***

4.
Compound: K8Rb6S
Source: Alexandria
Functional: PBE-GGA
Structure: optimized geometry

abc: 10.8055 10.8055 10.8055
angles: 72.71 72.71 72.71
Fractional coordinates of all 15 atoms:
1 K 0.0898 0.7069 0.9731
2 K 0.0269 0.9102 0.2931
3 K 0.2931 0.0269 0.9102
4 K 0.7485 0.7485 0.7485
5 K 0.2515 0.2515 0.2515
6 K 0.7069 0.9731 0.0898
7 K 0.9731 0.0898 0.7069
8 K 0.9102 0.2931 0.0269
9 Rb 0.1713 0.4752 0.6082
10 Rb 0.3918 0.8287 0.5248
11 Rb 0.5248 0.3918 0.8287
12 Rb 0.4752 0.6082 0.1713
13 Rb 0.6082 0.1713 0.4752
14 Rb 0.8287 0.5248 0.3918
15 S 0.0000 0.0000 0.0000

Calculated values
Formation energy (no corrections) in kJ/mol of formula units: -265
Crystal system: trigonal
Density of states at the Fermi level in states/eV/atom: 0.7213
Theoretical density in Mg/m³: 1.3
Spin magnetization in μB/f.u.: 0.0